1.
The following is a SCAN calculation of MgSe5 at its PBEsol-relaxed geometry, from Alexandria via LeMat-Bulk.

The calculation puts the formation energy from raw total energies at 159 meV per atom.

The space group is P4/mmm (No. 123) and the conventional cell measures 3.429, 3.429 and 10.138 Å, with angles of 90.00, 90.00 and 90.00 degrees. Symmetry generates all atoms from Mg at (0.000, 0.000, 0.000), Se at (0.000, 0.000, 0.346), Se at (0.500, 0.500, 0.137) and Se at (0.500, 0.500, 0.500).

=====

2.
The following is a SCAN calculation of Al2Hg3 at its PBEsol-relaxed geometry, from Alexandria via LeMat-Bulk.

The energy of formation comes out at 0.0172 eV/atom.

The space group is R-3m (No. 166, hexagonal axes) and the conventional cell measures 3.3177, 3.3177 and 31.4171 Å, with angles of 90.00, 90.00 and 120.00 degrees. Symmetry generates all atoms from Al at (0.0000, 0.0000, 0.1013), Hg at (0.0000, 0.0000, 0.2963) and Hg at (0.0000, 0.0000, 0.5000).

=====

3.
The following is a SCAN calculation of Li2Mg at its PBEsol-relaxed geometry, from Alexandria via LeMat-Bulk.

The energy of formation comes out at -0.0268 eV/atom.

The space group is P6/mmm (No. 191) and the conventional cell measures 4.7956, 4.7956 and 2.9909 Å, with angles of 90.00, 90.00 and 120.00 degrees. Symmetry generates all atoms from Li at (0.3333, 0.6667, 0.0000) and Mg at (0.0000, 0.0000, 0.5000).

=====

4.
The following is a SCAN calculation of VPPb3O8 at its PBEsol-relaxed geometry, from Alexandria via LeMat-Bulk.

The calculation puts the formation energy from raw total energies at -2025 meV per atom.

The space group is R3m (No. 160, hexagonal axes) and the conventional cell measures 5.5549, 5.5549 and 20.1751 Å, with angles of 90.00, 90.00 and 120.00 degrees. Symmetry generates all atoms from V at (0.0000, 0.0000, 0.0000), P at (0.0000, 0.0000, 0.1912), Pb at (0.0000, 0.0000, 0.3840), Pb at (0.0000, 0.0000, 0.5900), Pb at (0.0000, 0.0000, 0.7985), O at (0.0000, 0.0000, 0.2680), O at (0.0000, 0.0000, 0.9161), O at (0.0023, 0.5011, 0.3621) and O at (0.0277, 0.5139, 0.8318).

=====

5.
The following is a SCAN calculation of Cr2CuTcI at its PBEsol-relaxed geometry, from Alexandria via LeMat-Bulk.

The calculation puts the formation energy from raw total energies at 1303 meV per atom.

The space group is P4/mmm (No. 123) and the conventional cell measures 4.569, 4.569 and 5.116 Å, with angles of 90.00, 90.00 and 90.00 degrees. Symmetry generates all atoms from Cr at (0.000, 0.500, 0.000), Cu at (0.000, 0.000, 0.500), Tc at (0.500, 0.500, 0.000) and I at (0.500, 0.500, 0.500).

=====

6.
The following is a SCAN calculation of SnPAuF2 at its PBEsol-relaxed geometry, from Alexandria via LeMat-Bulk.

The calculation puts the formation energy from raw total energies at -773 meV per atom.

The space group is P4/mmm (No. 123) and the conventional cell measures 4.104, 4.104 and 5.490 Å, with angles of 90.00, 90.00 and 90.00 degrees. Symmetry generates all atoms from Sn at (0.000, 0.000, 0.000), P at (0.500, 0.500, 0.500), Au at (0.000, 0.000, 0.500) and F at (0.000, 0.500, 0.000).

=====

7.
The following is a SCAN calculation of Li2LaSn2 at its PBEsol-relaxed geometry, from Alexandria via LeMat-Bulk.

The energy of formation comes out at -0.6691 eV/atom.

The space group is I4/mmm (No. 139) and the conventional cell measures 4.415, 4.415 and 12.097 Å, with angles of 90.00, 90.00 and 90.00 degrees. Symmetry generates all atoms from Li at (0.000, 0.500, 0.250), La at (0.000, 0.000, 0.000) and Sn at (0.000, 0.000, 0.385).

=====

8.
The following is a SCAN calculation of CaCdAg at its PBEsol-relaxed geometry, from Alexandria via LeMat-Bulk.

The energy of formation comes out at -0.3021 eV/atom.

The space group is I4mm (No. 107) and the conventional cell measures 3.674, 3.674 and 9.919 Å, with angles of 90.00, 90.00 and 90.00 degrees. Symmetry generates all atoms from Ca at (0.000, 0.000, 0.000), Cd at (0.000, 0.000, 0.315) and Ag at (0.000, 0.000, 0.677).

=====

9.
The following is a SCAN calculation of LaCdP3 at its PBEsol-relaxed geometry, from Alexandria via LeMat-Bulk.

The energy of formation comes out at 0.1186 eV/atom.

The space group is Pm-3m (No. 221) and the conventional cell measures 4.866, 4.866 and 4.866 Å, with angles of 90.00, 90.00 and 90.00 degrees. Symmetry generates all atoms from La at (0.000, 0.000, 0.000), Cd at (0.500, 0.500, 0.500) and P at (0.000, 0.500, 0.500).

=====

10.
The following is a SCAN calculation of Hf2Cu2Hg at its PBEsol-relaxed geometry, from Alexandria via LeMat-Bulk.

The energy of formation comes out at -0.2529 eV/atom.

The space group is P4/mbm (No. 127) and the conventional cell measures 6.931, 6.931 and 3.501 Å, with angles of 90.00, 90.00 and 90.00 degrees. Symmetry generates all atoms from Hf at (0.167, 0.333, 0.000), Cu at (0.125, 0.625, 0.500) and Hg at (0.000, 0.000, 0.500).

=====

11.
The following is a SCAN calculation of Be3Co at its PBEsol-relaxed geometry, from Alexandria via LeMat-Bulk.

The energy of formation comes out at -0.2277 eV/atom.

The space group is P6_3/mmc (No. 194) and the conventional cell measures 4.5509, 4.5509 and 3.6218 Å, with angles of 90.00, 90.00 and 120.00 degrees. Symmetry generates all atoms from Be at (0.1669, 0.3338, 0.2500) and Co at (0.3333, 0.6667, 0.7500).

=====

12.
The following is a SCAN calculation of ZrTiW2 at its PBEsol-relaxed geometry, from Alexandria via LeMat-Bulk.

The energy of formation comes out at 0.2208 eV/atom.

The space group is Fm-3m (No. 225) and the conventional cell measures 6.449, 6.449 and 6.449 Å, with angles of 90.00, 90.00 and 90.00 degrees. Symmetry generates all atoms from Zr at (0.000, 0.000, 0.000), Ti at (0.000, 0.000, 0.500) and W at (0.250, 0.250, 0.250).

=====

13.
The following is a SCAN calculation of Al4NiAu at its PBEsol-relaxed geometry, from Alexandria via LeMat-Bulk.

The energy of formation comes out at 0.1670 eV/atom.

The space group is F-43m (No. 216) and the conventional cell measures 7.184, 7.184 and 7.184 Å, with angles of 90.00, 90.00 and 90.00 degrees. Symmetry generates all atoms from Al at (0.125, 0.125, 0.125), Ni at (0.000, 0.000, 0.500) and Au at (0.250, 0.250, 0.750).

=====

14.
The following is a SCAN calculation of Sr2MnCoS at its PBEsol-relaxed geometry, from Alexandria via LeMat-Bulk.

The calculation puts the formation energy from raw total energies at -73 meV per atom.

The space group is P4/mmm (No. 123) and the conventional cell measures 5.697, 5.697 and 4.018 Å, with angles of 90.00, 90.00 and 90.00 degrees. Symmetry generates all atoms from Sr at (0.000, 0.500, 0.000), Mn at (0.000, 0.000, 0.500), Co at (0.500, 0.500, 0.000) and S at (0.500, 0.500, 0.500).

=====

15.
The following is a SCAN calculation of P2PdSO at its PBEsol-relaxed geometry, from Alexandria via LeMat-Bulk.

The calculation puts the formation energy from raw total energies at 1282 meV per atom.

The space group is P4/mmm (No. 123) and the conventional cell measures 4.522, 4.522 and 4.776 Å, with angles of 90.00, 90.00 and 90.00 degrees. Symmetry generates all atoms from P at (0.000, 0.500, 0.000), Pd at (0.000, 0.000, 0.000), S at (0.000, 0.000, 0.500) and O at (0.500, 0.500, 0.500).

=====

16.
The following is a SCAN calculation of Cd3Hg5 at its PBEsol-relaxed geometry, from Alexandria via LeMat-Bulk.

The energy of formation comes out at 0.0170 eV/atom.

The space group is P6_3/mcm (No. 193) and the conventional cell measures 8.5347, 8.5347 and 5.8030 Å, with angles of 90.00, 90.00 and 120.00 degrees. Symmetry generates all atoms from Cd at (0.0000, 0.4039, 0.2500), Hg at (0.0000, 0.2166, 0.7500) and Hg at (0.3333, 0.6667, 0.0000).

=====

17.
The following is a SCAN calculation of Rb2ZnNO at its PBEsol-relaxed geometry, from Alexandria via LeMat-Bulk.

The calculation puts the formation energy from raw total energies at 254 meV per atom.

The space group is P4/mmm (No. 123) and the conventional cell measures 6.107, 6.107 and 3.653 Å, with angles of 90.00, 90.00 and 90.00 degrees. Symmetry generates all atoms from Rb at (0.000, 0.500, 0.000), Zn at (0.000, 0.000, 0.000), N at (0.500, 0.500, 0.500) and O at (0.000, 0.000, 0.500).

=====

18.
The following is a SCAN calculation of MgIr2Br at its PBEsol-relaxed geometry, from Alexandria via LeMat-Bulk.

The calculation puts the formation energy from raw total energies at 712 meV per atom.

The space group is I-4m2 (No. 119) and the conventional cell measures 3.933, 3.933 and 8.219 Å, with angles of 90.00, 90.00 and 90.00 degrees. Symmetry generates all atoms from Mg at (0.000, 0.000, 0.000), Ir at (0.000, 0.000, 0.500), Ir at (0.000, 0.500, 0.750) and Br at (0.000, 0.500, 0.250).

=====

19.
The following is a SCAN calculation of KGe2Pb2 at its PBEsol-relaxed geometry, from Alexandria via LeMat-Bulk.

The energy of formation comes out at -0.0643 eV/atom.

The space group is I4/mmm (No. 139) and the conventional cell measures 4.947, 4.947 and 11.939 Å, with angles of 90.00, 90.00 and 90.00 degrees. Symmetry generates all atoms from K at (0.000, 0.000, 0.000), Ge at (0.000, 0.000, 0.393) and Pb at (0.000, 0.500, 0.250).

=====

20.
The following is a SCAN calculation of CuRh2 at its PBEsol-relaxed geometry, from Alexandria via LeMat-Bulk.

The energy of formation comes out at 0.0472 eV/atom.

The space group is P-3m1 (No. 164) and the conventional cell measures 2.6468, 2.6468 and 6.3945 Å, with angles of 90.00, 90.00 and 120.00 degrees. Symmetry generates all atoms from Cu at (0.0000, 0.0000, 0.0000) and Rh at (0.3333, 0.6667, 0.6690).

=====

| no. | size of the total moment (μB/f.u.) | DOS(E_F) (states/eV per cell) |
| --- | --- | --- |
| 1 | 0.00 | 3.55 |
| 2 | 0.00 | 4.95 |
| 3 | 0.08 | 1.44 |
| 4 | 0.00 | 0.00 |
| 5 | 6.30 | 2.98 |
| 6 | 1.08 | 1.93 |
| 7 | 0.00 | 2.68 |
| 8 | 0.00 | 2.52 |
| 9 | 0.00 | 3.31 |
| 10 | 0.00 | 5.13 |
| 11 | 0.01 | 3.01 |
| 12 | 0.00 | 22.69 |
| 13 | 0.00 | 13.13 |
| 14 | 5.34 | 3.70 |
| 15 | 2.69 | 3.59 |
| 16 | 0.00 | 3.95 |
| 17 | 1.74 | 4.34 |
| 18 | 0.00 | 6.67 |
| 19 | 0.00 | 5.40 |
| 20 | 0.01 | 2.39 |